Below is crystalline GaSnC at its relaxed geometry, with properties calculated at the GGA-PBE level.

Values from the calculation:
For the size of the total moment, the calculation gives 0.0 μB per formula unit. The distance to the lowest polymorph of the same formula comes out at 0.058 eV/atom. Its total energy is -0.1801 Ha/atom. The energy of formation is 517 meV per atom.

Lattice parameters (Å, degrees): 3.2040 5.0896 6.8071 88.70 77.24 84.00
Last column: nearest neighbours and their distance in Å.
Space group P-1 (No. 2)
Inequivalent atoms, fractional coordinates:
Ga: 0.0242 0.3216 0.3579  2 C 2.10-2.11
Sn: 0.2298 0.2261 0.8728  1 C 2.35
C: 0.4571 0.9409 0.5938  1 C 1.38

***

Below is crystalline Tm4GaSnC at its relaxed geometry, with properties calculated at the GGA-PBE level.

Values from the calculation:
For the size of the total moment, the calculation gives 0.0 μB per formula unit. Its total energy is -0.1991 Ha/atom. The energy of formation is -540 meV per atom.

Lattice parameters (Å, degrees): 6.6678 15.2381 6.6661 90.00 90.00 90.00
Last column: nearest neighbours and their distance in Å.
Space group Cmcm (No. 63)
Inequivalent atoms, fractional coordinates:
Tm: 0.0000 0.0833 0.2500  1 C 2.51
Tm: 0.0000 0.4097 0.2500  1 C 2.47
Tm: 0.2500 0.2500 0.0000  2 C 2.36
Ga: 0.0000 0.1172 0.7500  9 Tm 3.06-3.37
Sn: 0.0000 0.3895 0.7500  9 Tm 3.06-3.36
C: 0.0000 0.2478 0.2500  6 Tm 2.36-2.51

***

Below is crystalline SrGaC2 at its relaxed geometry, with properties calculated at the GGA-PBE level.

Values from the calculation:
For the size of the total moment, the calculation gives 0.0 μB per formula unit. Its total energy is -0.1776 Ha/atom. The energy of formation is 956 meV per atom.

Lattice parameters (Å, degrees): 4.5782 4.5782 12.6620 90.00 90.00 90.00
Last column: nearest neighbours and their distance in Å.
Space group I-42d (No. 122)
Inequivalent atoms, fractional coordinates:
Sr: 0.0000 0.0000 0.0000  4 C 2.68
Ga: 0.0000 0.0000 0.5000  4 C 2.00
C: 0.0979 0.2500 0.6250  2 Ga 2.00

***

Q: Among the records above, which one has the lowest energy of formation?
A: Tm4GaSnC

***

Q: Which value of energy of formation does entry 2 give?
A: -540 meV per atom